1.
# Cu3Rh (meta-GGA SCAN, PBEsol geometry)
# SG: P4/mmm (123)
# N(E_F) in states/eV per cell: 3.68
# ΔE_f in eV per atom: 0.0696
data_Cu3Rh
_cell_length_a 2.900
_cell_length_b 2.900
_cell_length_c 5.662
_cell_angle_alpha 90.00
_cell_angle_beta 90.00
_cell_angle_gamma 90.00
_space_group_name_H-M_alt 'P 1'
_space_group_IT_number 1
loop_
_space_group_symop_operation_xyz
'x,y,z'
loop_
_atom_site_label
_atom_site_type_symbol
_atom_site_fract_x
_atom_site_fract_y
_atom_site_fract_z
Rh1 Rh 0.500 0.500 0.500
Cu1 Cu 0.500 0.500 0.000
Cu2 Cu 0.000 0.000 0.764
Cu3 Cu 0.000 0.000 0.236

***

2.
# Cu2Rh (meta-GGA SCAN, PBEsol geometry)
# SG: Cm (8)
# ΔE to the lowest computed polymorph in kJ/mol of atoms: 1.55
# N(E_F) in states/eV per cell: 4.52
# ΔE_f in eV per atom: 0.0535
data_Cu2Rh
_cell_length_a 2.600
_cell_length_b 4.945
_cell_length_c 6.142
_cell_angle_alpha 105.19
_cell_angle_beta 90.00
_cell_angle_gamma 105.24
_space_group_name_H-M_alt 'P 1'
_space_group_IT_number 1
loop_
_space_group_symop_operation_xyz
'x,y,z'
loop_
_atom_site_label
_atom_site_type_symbol
_atom_site_fract_x
_atom_site_fract_y
_atom_site_fract_z
Cu1 Cu 0.388 0.775 0.276
Cu2 Cu 0.337 0.675 0.667
Cu3 Cu 0.669 0.339 0.332
Cu4 Cu 0.997 0.994 0.008
Rh1 Rh 0.056 0.112 0.606
Rh2 Rh 0.719 0.438 0.943

***

3.
# Cu2Rh (meta-GGA SCAN, PBEsol geometry)
# SG: I4/mmm (139)
# ΔE to the lowest computed polymorph in kJ/mol of atoms: 3.44
# N(E_F) in states/eV per cell: 2.38
# ΔE_f in eV per atom: 0.0731
data_Cu2Rh
_cell_length_a 2.618
_cell_length_b 2.618
_cell_length_c 5.632
_cell_angle_alpha 103.44
_cell_angle_beta 103.44
_cell_angle_gamma 90.00
_space_group_name_H-M_alt 'P 1'
_space_group_IT_number 1
loop_
_space_group_symop_operation_xyz
'x,y,z'
loop_
_atom_site_label
_atom_site_type_symbol
_atom_site_fract_x
_atom_site_fract_y
_atom_site_fract_z
Cu1 Cu 0.329 0.329 0.658
Cu2 Cu 0.671 0.671 0.342
Rh1 Rh 0.000 0.000 0.000

***

4.
# Cu3Rh (meta-GGA SCAN, PBEsol geometry)
# SG: Pmm2 (25)
# N(E_F) in states/eV per cell: 2.63
# ΔE_f in eV per atom: 0.0579
data_Cu3Rh
_cell_length_a 2.660
_cell_length_b 4.187
_cell_length_c 4.313
_cell_angle_alpha 90.00
_cell_angle_beta 90.00
_cell_angle_gamma 90.00
_space_group_name_H-M_alt 'P 1'
_space_group_IT_number 1
loop_
_space_group_symop_operation_xyz
'x,y,z'
loop_
_atom_site_label
_atom_site_type_symbol
_atom_site_fract_x
_atom_site_fract_y
_atom_site_fract_z
Cu1 Cu 0.500 0.500 0.852
Cu2 Cu 0.500 0.000 0.481
Cu3 Cu 0.000 0.000 0.980
Rh1 Rh 0.000 0.500 0.354

***

5.
# Cu3Rh (meta-GGA SCAN, PBEsol geometry)
# SG: I4/mmm (139)
# N(E_F) in states/eV per cell: 6.82
# ΔE_f in eV per atom: 0.0418
data_Cu3Rh
_cell_length_a 3.644
_cell_length_b 3.644
_cell_length_c 7.648
_cell_angle_alpha 103.78
_cell_angle_beta 103.78
_cell_angle_gamma 90.00
_space_group_name_H-M_alt 'P 1'
_space_group_IT_number 1
loop_
_space_group_symop_operation_xyz
'x,y,z'
loop_
_atom_site_label
_atom_site_type_symbol
_atom_site_fract_x
_atom_site_fract_y
_atom_site_fract_z
Rh1 Rh 0.375 0.375 0.749
Rh2 Rh 0.625 0.625 0.251
Cu1 Cu 0.874 0.874 0.749
Cu2 Cu 0.750 0.250 0.500
Cu3 Cu 0.250 0.750 0.500
Cu4 Cu 0.500 0.000 0.000
Cu5 Cu 0.126 0.126 0.251
Cu6 Cu 0.000 0.500 0.000

***

6.
# Cu3Rh (meta-GGA SCAN, PBEsol geometry)
# SG: R-3m (166)
# N(E_F) in states/eV per cell: 2.45
# ΔE_f in eV per atom: 0.0361
data_Cu3Rh
_cell_length_a 2.584
_cell_length_b 2.584
_cell_length_c 8.438
_cell_angle_alpha 81.19
_cell_angle_beta 81.19
_cell_angle_gamma 60.00
_space_group_name_H-M_alt 'P 1'
_space_group_IT_number 1
loop_
_space_group_symop_operation_xyz
'x,y,z'
loop_
_atom_site_label
_atom_site_type_symbol
_atom_site_fract_x
_atom_site_fract_y
_atom_site_fract_z
Cu1 Cu 0.247 0.247 0.258
Cu2 Cu 0.753 0.753 0.742
Cu3 Cu 0.500 0.500 0.500
Rh1 Rh 0.000 0.000 0.000

***

7.
# Cu2Rh (meta-GGA SCAN, PBEsol geometry)
# SG: P4/mmm (123)
# ΔE to the lowest computed polymorph in kJ/mol of atoms: 34.82
# N(E_F) in states/eV per cell: 2.01
# ΔE_f in eV per atom: 0.3983
data_Cu2Rh
_cell_length_a 2.513
_cell_length_b 4.283
_cell_length_c 4.283
_cell_angle_alpha 90.00
_cell_angle_beta 90.00
_cell_angle_gamma 90.00
_space_group_name_H-M_alt 'P 1'
_space_group_IT_number 1
loop_
_space_group_symop_operation_xyz
'x,y,z'
loop_
_atom_site_label
_atom_site_type_symbol
_atom_site_fract_x
_atom_site_fract_y
_atom_site_fract_z
Cu1 Cu 0.500 0.000 0.500
Cu2 Cu 0.500 0.500 0.000
Rh1 Rh 0.000 0.000 0.000

***

8.
# Cu24Rh5 (meta-GGA SCAN, PBEsol geometry)
# SG: I-43m (217)
# N(E_F) in states/eV per cell: 13.29
# ΔE_f in eV per atom: 0.0445
data_Cu24Rh5
_cell_length_a 7.617
_cell_length_b 7.617
_cell_length_c 7.617
_cell_angle_alpha 109.47
_cell_angle_beta 109.47
_cell_angle_gamma 109.47
_space_group_name_H-M_alt 'P 1'
_space_group_IT_number 1
loop_
_space_group_symop_operation_xyz
'x,y,z'
loop_
_atom_site_label
_atom_site_type_symbol
_atom_site_fract_x
_atom_site_fract_y
_atom_site_fract_z
Cu1 Cu 0.721 0.319 0.319
Cu2 Cu 0.597 0.597 0.279
Cu3 Cu 0.191 0.000 0.376
Cu4 Cu 0.319 0.721 0.319
Cu5 Cu 0.681 0.403 0.000
Cu6 Cu 0.403 0.681 0.000
Cu7 Cu 0.681 0.000 0.403
Cu8 Cu 0.624 0.814 0.624
Cu9 Cu 0.186 0.809 0.809
Cu10 Cu 0.403 0.000 0.681
Cu11 Cu 0.376 0.191 0.000
Cu12 Cu 0.814 0.624 0.624
Cu13 Cu 0.000 0.403 0.681
Cu14 Cu 0.597 0.279 0.597
Cu15 Cu 0.319 0.319 0.721
Cu16 Cu 0.624 0.624 0.814
Cu17 Cu 0.000 0.191 0.376
Cu18 Cu 0.000 0.376 0.191
Cu19 Cu 0.376 0.000 0.191
Cu20 Cu 0.809 0.186 0.809
Cu21 Cu 0.000 0.681 0.403
Cu22 Cu 0.809 0.809 0.186
Cu23 Cu 0.279 0.597 0.597
Cu24 Cu 0.191 0.376 0.000
Rh1 Rh 0.000 0.641 0.000
Rh2 Rh 0.000 0.000 0.641
Rh3 Rh 0.000 0.000 0.000
Rh4 Rh 0.359 0.359 0.359
Rh5 Rh 0.641 0.000 0.000

***

9.
# Cu4Rh (meta-GGA SCAN, PBEsol geometry)
# SG: I4/m (87)
# N(E_F) in states/eV per cell: 2.06
# ΔE_f in eV per atom: 0.0303
data_Cu4Rh
_cell_length_a 3.669
_cell_length_b 4.414
_cell_length_c 4.414
_cell_angle_alpha 80.05
_cell_angle_beta 65.44
_cell_angle_gamma 65.44
_space_group_name_H-M_alt 'P 1'
_space_group_IT_number 1
loop_
_space_group_symop_operation_xyz
'x,y,z'
loop_
_atom_site_label
_atom_site_type_symbol
_atom_site_fract_x
_atom_site_fract_y
_atom_site_fract_z
Cu1 Cu 0.198 0.398 0.206
Cu2 Cu 0.802 0.602 0.794
Cu3 Cu 0.596 0.206 0.602
Cu4 Cu 0.404 0.794 0.398
Rh1 Rh 0.000 0.000 0.000

***

10.
# Cu3Rh (meta-GGA SCAN, PBEsol geometry)
# SG: Pmmn (59)
# N(E_F) in states/eV per cell: 4.64
# ΔE_f in eV per atom: 0.0525
data_Cu3Rh
_cell_length_a 4.188
_cell_length_b 4.381
_cell_length_c 5.214
_cell_angle_alpha 90.00
_cell_angle_beta 90.00
_cell_angle_gamma 90.00
_space_group_name_H-M_alt 'P 1'
_space_group_IT_number 1
loop_
_space_group_symop_operation_xyz
'x,y,z'
loop_
_atom_site_label
_atom_site_type_symbol
_atom_site_fract_x
_atom_site_fract_y
_atom_site_fract_z
Cu1 Cu 0.000 0.170 0.250
Cu2 Cu 0.500 0.322 0.000
Cu3 Cu 0.000 0.678 0.500
Cu4 Cu 0.000 0.170 0.750
Cu5 Cu 0.500 0.830 0.750
Cu6 Cu 0.500 0.830 0.250
Rh1 Rh 0.000 0.672 0.000
Rh2 Rh 0.500 0.328 0.500

***

11.
# Cu3Rh (meta-GGA SCAN, PBEsol geometry)
# SG: Fm-3m (225)
# N(E_F) in states/eV per cell: 2.57
# ΔE_f in eV per atom: 0.0637
data_Cu3Rh
_cell_length_a 4.079
_cell_length_b 4.079
_cell_length_c 4.079
_cell_angle_alpha 60.00
_cell_angle_beta 60.00
_cell_angle_gamma 60.00
_space_group_name_H-M_alt 'P 1'
_space_group_IT_number 1
loop_
_space_group_symop_operation_xyz
'x,y,z'
loop_
_atom_site_label
_atom_site_type_symbol
_atom_site_fract_x
_atom_site_fract_y
_atom_site_fract_z
Cu1 Cu 0.750 0.750 0.750
Cu2 Cu 0.000 0.000 0.000
Cu3 Cu 0.250 0.250 0.250
Rh1 Rh 0.500 0.500 0.500

***

12.
# Cu3Rh (meta-GGA SCAN, PBEsol geometry)
# SG: C2/m (12)
# N(E_F) in states/eV per cell: 2.88
# ΔE_f in eV per atom: 0.0471
data_Cu3Rh
_cell_length_a 2.608
_cell_length_b 4.398
_cell_length_c 4.464
_cell_angle_alpha 101.42
_cell_angle_beta 106.99
_cell_angle_gamma 90.00
_space_group_name_H-M_alt 'P 1'
_space_group_IT_number 1
loop_
_space_group_symop_operation_xyz
'x,y,z'
loop_
_atom_site_label
_atom_site_type_symbol
_atom_site_fract_x
_atom_site_fract_y
_atom_site_fract_z
Cu1 Cu 0.753 0.755 0.505
Cu2 Cu 0.500 0.000 0.000
Cu3 Cu 0.247 0.245 0.495
Rh1 Rh 0.000 0.500 0.000

***

13.
# Cu3Rh (meta-GGA SCAN, PBEsol geometry)
# SG: P6_3/mmc (194)
# N(E_F) in states/eV per cell: 6.79
# ΔE_f in eV per atom: 0.0523
data_Cu3Rh
_cell_length_a 4.167
_cell_length_b 5.148
_cell_length_c 5.148
_cell_angle_alpha 120.00
_cell_angle_beta 90.00
_cell_angle_gamma 90.00
_space_group_name_H-M_alt 'P 1'
_space_group_IT_number 1
loop_
_space_group_symop_operation_xyz
'x,y,z'
loop_
_atom_site_label
_atom_site_type_symbol
_atom_site_fract_x
_atom_site_fract_y
_atom_site_fract_z
Cu1 Cu 0.750 0.164 0.836
Cu2 Cu 0.750 0.671 0.836
Cu3 Cu 0.250 0.836 0.671
Cu4 Cu 0.750 0.164 0.329
Cu5 Cu 0.250 0.329 0.164
Cu6 Cu 0.250 0.836 0.164
Rh1 Rh 0.750 0.667 0.333
Rh2 Rh 0.250 0.333 0.667

***

14.
# Cu3Rh (meta-GGA SCAN, PBEsol geometry)
# SG: Immm (71)
# N(E_F) in states/eV per cell: 2.62
# ΔE_f in eV per atom: 0.0710
data_Cu3Rh
_cell_length_a 2.817
_cell_length_b 4.139
_cell_length_c 4.806
_cell_angle_alpha 115.51
_cell_angle_beta 107.04
_cell_angle_gamma 90.00
_space_group_name_H-M_alt 'P 1'
_space_group_IT_number 1
loop_
_space_group_symop_operation_xyz
'x,y,z'
loop_
_atom_site_label
_atom_site_type_symbol
_atom_site_fract_x
_atom_site_fract_y
_atom_site_fract_z
Cu1 Cu 0.241 0.241 0.482
Cu2 Cu 0.759 0.759 0.518
Cu3 Cu 0.500 0.000 0.000
Rh1 Rh 0.000 0.500 0.000

***

15.
# Cu3Rh (meta-GGA SCAN, PBEsol geometry)
# SG: P-6m2 (187)
# N(E_F) in states/eV per cell: 2.79
# ΔE_f in eV per atom: 0.0588
data_Cu3Rh
_cell_length_a 2.578
_cell_length_b 2.578
_cell_length_c 8.375
_cell_angle_alpha 90.00
_cell_angle_beta 90.00
_cell_angle_gamma 120.00
_space_group_name_H-M_alt 'P 1'
_space_group_IT_number 1
loop_
_space_group_symop_operation_xyz
'x,y,z'
loop_
_atom_site_label
_atom_site_type_symbol
_atom_site_fract_x
_atom_site_fract_y
_atom_site_fract_z
Cu1 Cu 0.333 0.667 0.758
Cu2 Cu 0.000 0.000 0.000
Cu3 Cu 0.333 0.667 0.242
Rh1 Rh 0.000 0.000 0.500

***

16.
# Cu4Rh5 (meta-GGA SCAN, PBEsol geometry)
# SG: I4/mmm (139)
# N(E_F) in states/eV per cell: 11.50
# ΔE_f in eV per atom: 0.1019
data_Cu4Rh5
_cell_length_a 3.707
_cell_length_b 5.853
_cell_length_c 5.853
_cell_angle_alpha 84.24
_cell_angle_beta 71.54
_cell_angle_gamma 71.54
_space_group_name_H-M_alt 'P 1'
_space_group_IT_number 1
loop_
_space_group_symop_operation_xyz
'x,y,z'
loop_
_atom_site_label
_atom_site_type_symbol
_atom_site_fract_x
_atom_site_fract_y
_atom_site_fract_z
Cu1 Cu 0.000 0.661 0.339
Cu2 Cu 0.000 0.339 0.661
Cu3 Cu 0.339 0.661 0.661
Cu4 Cu 0.661 0.339 0.339
Rh1 Rh 0.667 0.000 0.667
Rh2 Rh 0.000 0.000 0.000
Rh3 Rh 0.333 0.000 0.333
Rh4 Rh 0.333 0.333 0.000
Rh5 Rh 0.667 0.667 0.000

***

17.
# Cu7Rh (meta-GGA SCAN, PBEsol geometry)
# SG: Fm-3m (225)
# N(E_F) in states/eV per cell: 3.99
# ΔE_f in eV per atom: 0.0064
data_Cu7Rh
_cell_length_a 5.088
_cell_length_b 5.088
_cell_length_c 5.088
_cell_angle_alpha 60.00
_cell_angle_beta 60.00
_cell_angle_gamma 60.00
_space_group_name_H-M_alt 'P 1'
_space_group_IT_number 1
loop_
_space_group_symop_operation_xyz
'x,y,z'
loop_
_atom_site_label
_atom_site_type_symbol
_atom_site_fract_x
_atom_site_fract_y
_atom_site_fract_z
Cu1 Cu 0.000 0.500 0.500
Cu2 Cu 0.000 0.000 0.500
Cu3 Cu 0.500 0.000 0.000
Cu4 Cu 0.000 0.500 0.000
Cu5 Cu 0.500 0.500 0.000
Cu6 Cu 0.500 0.500 0.500
Cu7 Cu 0.500 0.000 0.500
Rh1 Rh 0.000 0.000 0.000

***

18.
# Cu2RuRh (meta-GGA SCAN, PBEsol geometry)
# SG: C2/m (12)
# ΔE to the lowest computed polymorph in kJ/mol of atoms: 10.27
# N(E_F) in states/eV per cell: 3.91
# ΔE_f in eV per atom: 0.1938
data_Cu2RuRh
_cell_length_a 2.608
_cell_length_b 4.489
_cell_length_c 4.553
_cell_angle_alpha 99.38
_cell_angle_beta 90.00
_cell_angle_gamma 106.89
_space_group_name_H-M_alt 'P 1'
_space_group_IT_number 1
loop_
_space_group_symop_operation_xyz
'x,y,z'
loop_
_atom_site_label
_atom_site_type_symbol
_atom_site_fract_x
_atom_site_fract_y
_atom_site_fract_z
Cu1 Cu 0.249 0.499 0.249
Cu2 Cu 0.751 0.501 0.751
Ru1 Ru 0.500 0.000 0.000
Rh1 Rh 0.000 0.000 0.500

***

19.
# Cu2RuRh (meta-GGA SCAN, PBEsol geometry)
# SG: P4mm (99)
# ΔE to the lowest computed polymorph in kJ/mol of atoms: 0.00
# N(E_F) in states/eV per cell: 2.36
# ΔE_f in eV per atom: 0.0874
data_Cu2RuRh
_cell_length_a 2.664
_cell_length_b 2.664
_cell_length_c 7.032
_cell_angle_alpha 90.00
_cell_angle_beta 90.00
_cell_angle_gamma 90.00
_space_group_name_H-M_alt 'P 1'
_space_group_IT_number 1
loop_
_space_group_symop_operation_xyz
'x,y,z'
loop_
_atom_site_label
_atom_site_type_symbol
_atom_site_fract_x
_atom_site_fract_y
_atom_site_fract_z
Ru1 Ru 0.500 0.500 0.751
Rh1 Rh 0.000 0.000 0.500
Cu1 Cu 0.500 0.500 0.239
Cu2 Cu 0.000 0.000 0.010

***

20.
# Cu2RuRh (meta-GGA SCAN, PBEsol geometry)
# SG: Cmm2 (35)
# ΔE to the lowest computed polymorph in kJ/mol of atoms: 18.97
# N(E_F) in states/eV per cell: 3.99
# ΔE_f in eV per atom: 0.2841
data_Cu2RuRh
_cell_length_a 2.581
_cell_length_b 2.581
_cell_length_c 8.695
_cell_angle_alpha 90.00
_cell_angle_beta 90.00
_cell_angle_gamma 118.10
_space_group_name_H-M_alt 'P 1'
_space_group_IT_number 1
loop_
_space_group_symop_operation_xyz
'x,y,z'
loop_
_atom_site_label
_atom_site_type_symbol
_atom_site_fract_x
_atom_site_fract_y
_atom_site_fract_z
Cu1 Cu 0.500 0.500 0.757
Cu2 Cu 0.000 0.000 0.992
Ru1 Ru 0.500 0.500 0.246
Rh1 Rh 0.000 0.000 0.505

***

| no. | ρ (g cm⁻³) | size of the total moment (μB per atom) |
| --- | --- | --- |
| 1 | 10.2 | 0.00 |
| 2 | 10.4 | 0.00 |
| 3 | 10.5 | 0.19 |
| 4 | 10.1 | 0.00 |
| 5 | 10.2 | 0.00 |
| 6 | 10.1 | 0.00 |
| 7 | 8.3 | 0.00 |
| 8 | 10.0 | 0.00 |
| 9 | 10.0 | 0.00 |
| 10 | 10.2 | 0.00 |
| 11 | 10.2 | 0.00 |
| 12 | 10.2 | 0.00 |
| 13 | 10.2 | 0.00 |
| 14 | 10.2 | 0.00 |
| 15 | 10.1 | 0.00 |
| 16 | 11.2 | 0.00 |
| 17 | 9.8 | 0.00 |
| 18 | 10.9 | 0.00 |
| 19 | 11.0 | 0.00 |
| 20 | 10.8 | 0.00 |